W3O8 | Alexandria | PBE+U | optimized geometry; symmetry = Cmmm (65); magnetization = 2.0 Bohr magnetons per cell; excess energy over the best structure of this formula in the dataset = 0 meV/atom
1.0
3.255 -5.335 0.000
3.255 5.335 0.000
0.000 0.000 3.859
W O
3 8
direct
0.000 0.000 0.000
0.316 0.684 0.000
0.684 0.316 0.000
0.000 0.000 0.500
0.033 0.336 0.000
0.312 0.688 0.500
0.336 0.033 0.000
0.500 0.500 0.000
0.664 0.967 0.000
0.688 0.312 0.500
0.967 0.664 0.000